VCuTcO6 | Alexandria via LeMat-Bulk | GGA+U | relaxed; calculated total energy = -7.020 eV/atom; crystal system = trigonal; total moment = 2.060 μB/cell
1.0
4.968 0.000 0.000
-2.484 4.303 0.000
0.000 0.000 8.960
O V Tc Cu
12 2 2 2
direct
0.353 0.347 0.368
0.006 0.653 0.868
0.653 0.006 0.368
0.347 0.353 0.868
0.347 0.994 0.632
0.994 0.647 0.368
0.653 0.647 0.132
0.647 0.653 0.632
0.353 0.006 0.132
0.994 0.347 0.132
0.647 0.994 0.868
0.006 0.353 0.632
0.667 0.333 0.250
0.333 0.667 0.750
0.667 0.333 0.750
0.333 0.667 0.250
0.000 0.000 0.000
0.000 0.000 0.500